DFT (PBE-GGA) results for a geometry-optimized Ba3Th2N4 structure.

Symmetry: C2/m (12)
Formation energy without anion corrections: -8.124 eV per formula unit
Calculated volume: 232 Å³ per cell
Total magnetic moment: 0.00 μB per formula unit

POSCAR file:
```
Ba3Th2N4
1.0
6.795 -2.183 0.000
6.795 2.183 0.000
-6.437 0.000 7.833
Ba Th N
3 2 4
direct
0.000 0.000 0.000
0.174 0.174 0.804
0.826 0.826 0.196
0.391 0.391 0.611
0.609 0.609 0.389
0.164 0.164 0.372
0.414 0.414 0.115
0.586 0.586 0.885
0.836 0.836 0.628
```